{
  "formula": "NdHoMo2O8",
  "functional": "PBE+U",
  "state": "optimized geometry",
  "lattice": [[-4.308, 3.096, -0.148], [-1.446, -1.783, 4.785], [5.783, 3.503, 0.110]],
  "species": ["Nd", "Ho", "Mo", "Mo", "O", "O", "O", "O", "O", "O", "O", "O"],
  "frac_coords": [[0.750, 0.250, 0.500], [0.000, 0.000, 0.000], [0.500, 0.500, 0.000], [0.250, 0.750, 0.500], [0.777, 0.852, 0.178], [0.401, 0.326, 0.178], [0.571, 0.669, 0.676], [0.105, 0.007, 0.676], [0.993, 0.429, 0.324], [0.331, 0.895, 0.324], [0.148, 0.599, 0.822], [0.674, 0.223, 0.822]],
  "m_tot_mub_per_atom": 0.167,
  "e_tot_ev_per_atom": -7.700,
  "sg": "I-4"
}